Entry 1:
# MgZn2CdTe4 (GGA-PBE, optimized geometry)
# **Volume**: 259 Å³ per cell
# **Symmetry**: I-42m
# **Spin magnetization**: 0.00 μB/f.u.
# **Formation energy from raw total energies**: -0.55 eV/atom
data_MgZn2CdTe4
_chemical_formula_sum 'Mg1 Zn2 Cd1 Te4'
_space_group_name_H-M_alt 'P 1'
_space_group_IT_number 1
_space_group_name_Hall 'P 1'
_cell_length_a 6.341
_cell_length_b 6.341
_cell_length_c 7.839
_cell_angle_alpha 113.86
_cell_angle_beta 113.86
_cell_angle_gamma 90.00
loop_
_atom_site_label
_atom_site_fract_x
_atom_site_fract_y
_atom_site_fract_z
Zn1 0.750 0.250 0.500
Zn2 0.250 0.750 0.500
Te1 0.120 0.120 0.733
Te2 0.880 0.387 0.267
Te3 0.387 0.880 0.267
Te4 0.613 0.613 0.733
Mg1 0.500 0.500 0.000
Cd1 0.000 0.000 0.000

Entry 2:
# CaHRu (GGA-PBE, optimized geometry)
# **Volume**: 210 Å³ per cell
# **Symmetry**: Ama2
# **ΔE to the lowest computed polymorph**: 8.1 meV/atom
# **Spin magnetization**: 0.00 μB/f.u.
data_CaHRu
_chemical_formula_sum 'Ca4 H4 Ru4'
_space_group_name_H-M_alt 'P 1'
_space_group_IT_number 1
_space_group_name_Hall 'P 1'
_cell_length_a 4.158
_cell_length_b 10.888
_cell_length_c 4.648
_cell_angle_alpha 90.00
_cell_angle_beta 90.00
_cell_angle_gamma 90.00
loop_
_atom_site_label
_atom_site_fract_x
_atom_site_fract_y
_atom_site_fract_z
Ru1 0.250 0.050 0.459
Ru2 0.750 0.450 0.959
Ru3 0.250 0.550 0.959
Ru4 0.750 0.950 0.459
H1 0.750 0.827 0.235
H2 0.250 0.673 0.735
H3 0.250 0.173 0.235
H4 0.750 0.327 0.735
Ca1 0.750 0.640 0.479
Ca2 0.250 0.860 0.979
Ca3 0.750 0.140 0.979
Ca4 0.250 0.360 0.479

Entry 3:
# AlAs2W (GGA-PBE, optimized geometry)
# **Volume**: 69 Å³ per cell
# **Symmetry**: Amm2
# **ΔH_f (0 K)**: 0.07 eV/atom
# **ΔE to the lowest computed polymorph**: 0.0 meV/atom
# **Spin magnetization**: 0.00 μB/f.u.
data_AlAs2W
_chemical_formula_sum 'Al1 As2 W1'
_space_group_name_H-M_alt 'P 1'
_space_group_IT_number 1
_space_group_name_Hall 'P 1'
_cell_length_a 4.591
_cell_length_b 3.378
_cell_length_c 4.786
_cell_angle_alpha 69.36
_cell_angle_beta 90.00
_cell_angle_gamma 90.00
loop_
_atom_site_label
_atom_site_fract_x
_atom_site_fract_y
_atom_site_fract_z
As1 0.500 0.441 0.242
As2 0.000 0.029 0.067
W1 0.000 0.310 0.506
Al1 0.500 0.720 0.686